A plane-wave DFT calculation with GGA-PBE was carried out for crystalline Li2SiTe at its relaxed geometry.

abc: 3.1772 3.1772 8.1925
angles: 90.00 90.00 90.00
Closest atoms and distances in Å follow each position.
Space group P4mm (No. 99)
Unique sites:
Li  0.0000  0.0000  0.0000 x1  4 Li 2.78, 4 Te 2.87, 1 Si 2.97
Li  0.5000  0.5000  0.2008 x1  4 Si 2.61, 4 Li 2.78
Si  0.0000  0.0000  0.3631 x1  4 Li 2.61
Te  0.5000  0.5000  0.7826 x1  4 Li 2.87, 4 Te 3.18

Computed properties:
Energy: -0.11240 Ha/atom
Formation energy without anion corrections: 0.039 eV/atom
V: 83 Å³/cell
Distance to the lowest polymorph of the same formula: 303 meV per atom
M_tot: 0.00 μB per cell

---

A plane-wave DFT calculation with GGA-PBE was carried out for crystalline Li2SiTe at its relaxed geometry.

abc: 4.3151 4.3231 8.5335
angles: 90.00 90.00 90.00
Closest atoms and distances in Å follow each position.
Space group Cmmm (No. 65)
Unique sites:
Li  0.0000  0.0000  0.2108 x4  4 Si 2.81, 4 Li 3.05
Si  0.0000  0.5000  0.0000 x2  8 Li 2.81, 4 Si 3.05
Te  0.0000  0.5000  0.5000 x2  4 Te 3.05, 8 Li 3.28

Computed properties:
Energy: -0.12058 Ha/atom
Formation energy without anion corrections: -0.183 eV/atom
V: 159 Å³/cell
Distance to the lowest polymorph of the same formula: 81 meV per atom
M_tot: 0.00 μB per cell

---

A plane-wave DFT calculation with GGA-PBE was carried out for crystalline Li2SiTe at its relaxed geometry.

abc: 3.8571 3.8571 5.3624
angles: 90.00 90.00 90.00
Closest atoms and distances in Å follow each position.
Space group P4mm (No. 99)
Unique sites:
Li  0.0000  0.0000  0.0000 x1  2 Si 2.60-2.76
Li  0.5000  0.5000  0.2608 x1  2 Te 2.63-2.74
Si  0.0000  0.0000  0.5144 x1  2 Li 2.60-2.76
Te  0.5000  0.5000  0.7504 x1  2 Li 2.63-2.74

Computed properties:
Energy: -0.11846 Ha/atom
Formation energy without anion corrections: -0.125 eV/atom
V: 80 Å³/cell
Distance to the lowest polymorph of the same formula: 139 meV per atom
M_tot: 0.00 μB per cell

---

A plane-wave DFT calculation with GGA-PBE was carried out for crystalline Li2SiTe at its relaxed geometry.

abc: 7.6293 7.6293 5.6597
angles: 90.00 90.00 90.00
Closest atoms and distances in Å follow each position.
Space group I-42d (No. 122)
Unique sites:
Li  0.2479  0.7500  0.1250 x8  2 Si 2.78, 2 Te 2.80, 2 Li 2.83
Si  0.0000  0.0000  0.0000 x4  4 Li 2.78, 2 Te 2.83
Te  0.0000  0.0000  0.5000 x4  4 Li 2.80, 2 Si 2.83

Computed properties:
Energy: -0.11617 Ha/atom
Formation energy without anion corrections: -0.063 eV/atom
V: 329 Å³/cell
Distance to the lowest polymorph of the same formula: 201 meV per atom
M_tot: 0.00 μB per cell

---

A plane-wave DFT calculation with GGA-PBE was carried out for crystalline Li2SiTe at its relaxed geometry.

abc: 9.0938 3.9306 4.5346
angles: 90.00 111.33 90.00
Closest atoms and distances in Å follow each position.
Space group C2/m (No. 12)
Unique sites:
Li  0.2448  0.0000  0.2255 x4  3 Si 2.86-2.87, 4 Li 2.86-3.15, 3 Te 2.92-2.95
Si  0.0000  0.5000  0.0000 x2  6 Li 2.86-2.87, 4 Te 3.00
Te  0.0000  0.0000  0.5000 x2  8 Li 2.92-3.23, 4 Si 3.00

Computed properties:
Energy: -0.12355 Ha/atom
Formation energy without anion corrections: -0.264 eV/atom
V: 151 Å³/cell
Distance to the lowest polymorph of the same formula: 0 meV per atom
M_tot: 0.00 μB per cell

---

A plane-wave DFT calculation with GGA-PBE was carried out for crystalline LiSi2Te2 at its relaxed geometry.

abc: 7.8012 7.8012 3.9033
angles: 90.00 90.00 90.00
Closest atoms and distances in Å follow each position.
Space group P4/mbm (No. 127)
Unique sites:
Li  0.0000  0.0000  0.0000 x2  4 Te 2.82
Si  0.1122  0.3878  0.5000 x4  1 Si 2.48
Te  0.1953  0.6953  0.0000 x4  2 Li 2.82, 6 Si 2.88-3.16

Computed properties:
Energy: -0.13501 Ha/atom
Formation energy without anion corrections: 0.135 eV/atom
V: 238 Å³/cell
Distance to the lowest polymorph of the same formula: 125 meV per atom
M_tot: 0.00 μB per cell

---

A plane-wave DFT calculation with GGA-PBE was carried out for crystalline LiSi2Te at its relaxed geometry.

abc: 4.4083 4.4083 7.9514
angles: 90.00 90.00 90.00
Closest atoms and distances in Å follow each position.
Space group I-4m2 (No. 119)
Unique sites:
Li  0.0000  0.0000  0.0000 x2  4 Te 2.97, 8 Si 2.97-3.12
Si  0.0000  0.0000  0.5000 x2  4 Te 2.97, 4 Si 2.97, 4 Li 3.12
Si  0.0000  0.5000  0.7500 x2  4 Li 2.97, 4 Si 2.97, 4 Te 3.12
Te  0.0000  0.5000  0.2500 x2  4 Li 2.97, 8 Si 2.97-3.12

Computed properties:
Energy: -0.13534 Ha/atom
Formation energy without anion corrections: 0.293 eV/atom
V: 155 Å³/cell
M_tot: 0.00 μB per cell

---

A plane-wave DFT calculation with GGA-PBE was carried out for crystalline LiSi2Te at its relaxed geometry.

abc: 3.7928 3.7928 5.2392
angles: 90.00 90.00 90.00
Closest atoms and distances in Å follow each position.
Space group P4/mmm (No. 123)
Unique sites:
Li  0.0000  0.0000  0.0000 x1  4 Te 2.68
Si  0.0000  0.5000  0.5000 x2  4 Si 2.68
Te  0.5000  0.5000  0.0000 x1  4 Li 2.68

Computed properties:
Energy: -0.14081 Ha/atom
Formation energy without anion corrections: 0.144 eV/atom
V: 75 Å³/cell
M_tot: 0.00 μB per cell

---

A plane-wave DFT calculation with GGA-PBE was carried out for crystalline Li2SiTe at its relaxed geometry.

abc: 3.7029 4.2055 10.5740
angles: 90.00 90.00 90.00
Closest atoms and distances in Å follow each position.
Space group Imm2 (No. 44)
Unique sites:
Li  0.0000  0.0000  0.0000 x2  4 Si 2.85, 2 Li 3.11
Li  0.0000  0.5000  0.2640 x2  4 Te 2.81, 2 Si 2.88, 2 Li 3.11
Si  0.0000  0.0000  0.4495 x2  2 Te 2.80, 6 Li 2.85-2.88
Te  0.0000  0.5000  0.7504 x2  2 Si 2.80, 4 Li 2.81

Computed properties:
Energy: -0.12116 Ha/atom
Formation energy without anion corrections: -0.199 eV/atom
V: 165 Å³/cell
Distance to the lowest polymorph of the same formula: 65 meV per atom
M_tot: 0.00 μB per cell

---

A plane-wave DFT calculation with GGA-PBE was carried out for crystalline Li2SiTe at its relaxed geometry.

abc: 5.8747 7.7429 3.4066
angles: 90.00 90.15 90.00
Closest atoms and distances in Å follow each position.
Space group C2/m (No. 12)
Unique sites:
Li  0.2500  0.2500  0.0000 x4  2 Li 2.94, 4 Te 2.97, 4 Si 2.97
Si  0.0000  0.0000  0.5000 x2  2 Te 2.94, 8 Li 2.97
Te  0.0000  0.5000  0.5000 x2  2 Si 2.94, 8 Li 2.97

Computed properties:
Energy: -0.12093 Ha/atom
Formation energy without anion corrections: -0.193 eV/atom
V: 155 Å³/cell
Distance to the lowest polymorph of the same formula: 71 meV per atom
M_tot: 0.00 μB per cell

---

A plane-wave DFT calculation with GGA-PBE was carried out for crystalline LiSi2Te at its relaxed geometry.

abc: 5.4012 8.0056 3.6624
angles: 90.00 90.00 90.00
Closest atoms and distances in Å follow each position.
Space group Cmmm (No. 65)
Unique sites:
Li  0.0000  0.0000  0.0000 x2  2 Te 2.70
Si  0.2500  0.2500  0.5000 x4  2 Si 2.70
Te  0.0000  0.5000  0.0000 x2  2 Li 2.70

Computed properties:
Energy: -0.13684 Ha/atom
Formation energy without anion corrections: 0.252 eV/atom
V: 158 Å³/cell
M_tot: 0.00 μB per cell

---

A plane-wave DFT calculation with GGA-PBE was carried out for crystalline LiSi2Te at its relaxed geometry.

abc: 7.0603 3.8852 6.1861
angles: 90.00 103.52 90.00
Closest atoms and distances in Å follow each position.
Space group Cm (No. 8)
Unique sites:
Li  0.0000  0.0000  0.0000 x2  3 Si 2.64-2.87, 3 Te 2.69-2.71
Si  0.1459  0.5000  0.7393 x2  3 Si 2.43-2.45, 1 Li 2.64
Si  0.2934  0.0000  0.6019 x2  3 Si 2.43-2.45
Te  0.2247  0.5000  0.2350 x2  3 Li 2.69-2.71, 3 Si 2.94-2.99

Computed properties:
Energy: -0.14623 Ha/atom
Formation energy without anion corrections: -0.004 eV/atom
V: 165 Å³/cell
M_tot: 0.00 μB per cell

---

A plane-wave DFT calculation with GGA-PBE was carried out for crystalline LiSi2Te at its relaxed geometry.

abc: 3.0483 5.9153 4.5092
angles: 90.00 94.46 90.00
Closest atoms and distances in Å follow each position.
Space group P2/m (No. 10)
Unique sites:
Li  0.0000  0.0000  0.0000 x1  4 Te 2.62-2.82
Si  0.3039  0.5000  0.2238 x2  3 Si 2.42-2.68
Te  0.5000  0.0000  0.5000 x1  4 Li 2.62-2.82

Computed properties:
Energy: -0.13952 Ha/atom
Formation energy without anion corrections: 0.179 eV/atom
V: 81 Å³/cell
M_tot: 0.00 μB per cell

---

A plane-wave DFT calculation with GGA-PBE was carried out for crystalline LiSi2Te at its relaxed geometry.

abc: 3.7558 5.0667 8.7544
angles: 90.00 90.00 90.00
Closest atoms and distances in Å follow each position.
Space group Imm2 (No. 44)
Unique sites:
Li  0.0000  0.0000  0.0000 x2  2 Si 2.78, 2 Te 2.95
Si  0.0000  0.0000  0.5913 x2  2 Si 2.42
Si  0.0000  0.5000  0.2664 x2  2 Si 2.42
Te  0.0000  0.5000  0.7593 x2  6 Si 2.93-3.15, 2 Li 2.95

Computed properties:
Energy: -0.13906 Ha/atom
Formation energy without anion corrections: 0.191 eV/atom
V: 167 Å³/cell
M_tot: 0.00 μB per cell

---

A plane-wave DFT calculation with GGA-PBE was carried out for crystalline Li2SiTe4 at its relaxed geometry.

abc: 6.1843 6.1843 11.4452
angles: 90.00 90.00 90.00
Closest atoms and distances in Å follow each position.
Space group I-42m (No. 121)
Unique sites:
Li  0.0000  0.5000  0.2500 x4  4 Te 2.71
Si  0.0000  0.0000  0.0000 x2  4 Te 2.54
Te  0.2485  0.2485  0.6101 x8  1 Si 2.54, 2 Li 2.71

Computed properties:
Energy: -0.12393 Ha/atom
Formation energy without anion corrections: -0.256 eV/atom
V: 438 Å³/cell
M_tot: 0.00 μB per cell